[1]
This record from Alexandria describes a relaxed Cr2TcP2 crystal. The functional is PBE.

Lattice parameters (Å, degrees): 6.4821 6.4821 2.9143 90.00 90.00 90.00
Closest atoms and distances in Å follow each position.
Sites, in units of the cell vectors:
Cr (0.1412, 0.3588, 0.0000)  6 P 2.38-2.40, 1 Cr 2.59
Cr (0.3588, 0.8588, 0.0000)  6 P 2.38-2.40, 1 Cr 2.59
Cr (0.6412, 0.1412, 0.0000)  6 P 2.38-2.40, 1 Cr 2.59
Cr (0.8588, 0.6412, 0.0000)  6 P 2.38-2.40, 1 Cr 2.59
Tc (0.0000, 0.0000, 0.5000)  4 P 2.46
Tc (0.5000, 0.5000, 0.5000)  4 P 2.46
P (0.1534, 0.6534, 0.5000)  6 Cr 2.38-2.40, 2 Tc 2.46
P (0.3466, 0.1534, 0.5000)  6 Cr 2.38-2.40, 2 Tc 2.46
P (0.6534, 0.8466, 0.5000)  6 Cr 2.38-2.40, 2 Tc 2.46
P (0.8466, 0.3466, 0.5000)  6 Cr 2.38-2.40, 2 Tc 2.46

Summary:
M_tot: 0.973 μB per formula unit
DOS(E_F): 4.94 states/eV/f.u.
Space-group type: P4/mbm
Energy relative to the elements: -0.277 eV per atom


[2]
This record from Alexandria describes a relaxed K2Tl3I5 crystal. The functional is PBE.

Lattice parameters (Å, degrees): 9.4419 9.4419 12.9570 124.77 124.77 29.63
Closest atoms and distances in Å follow each position.
Sites, in units of the cell vectors:
K (0.1660, 0.1660, 0.2669)  7 I 3.68-3.82
K (0.8340, 0.8340, 0.7331)  7 I 3.68-3.82
Tl (0.0000, 0.0000, 0.5000)  6 I 3.51-3.60
Tl (0.3868, 0.3868, 0.1328)  5 I 3.38-3.55
Tl (0.6132, 0.6132, 0.8672)  5 I 3.38-3.55
I (0.2124, 0.2124, 0.7990)  4 Tl 3.43-3.55, 2 K 3.70
I (0.3952, 0.3952, 0.5809)  3 Tl 3.49-3.60, 3 K 3.68-3.74
I (0.5000, 0.5000, 0.0000)  2 Tl 3.38
I (0.6048, 0.6048, 0.4191)  3 Tl 3.49-3.60, 3 K 3.68-3.74
I (0.7876, 0.7876, 0.2010)  4 Tl 3.43-3.55, 2 K 3.70

Summary:
Total DFT energy (no corrections): -26.57 eV/f.u.
M_tot: 0.000 μB per formula unit
DOS(E_F): 0.00 states/eV/f.u.
Space-group type: C2/m


[3]
This record from Alexandria describes a relaxed BrO crystal. The functional is PBE.

Lattice parameters (Å, degrees): 4.4526 4.4526 5.6643 90.00 90.00 134.48
Closest atoms and distances in Å follow each position.
Sites, in units of the cell vectors:
Br (0.1241, 0.8759, 0.7500)  1 O 1.74
Br (0.8759, 0.1241, 0.2500)  1 O 1.74
O (0.0875, 0.9125, 0.2500)  1 Br 1.74
O (0.9125, 0.0875, 0.7500)  1 Br 1.74

Summary:
M_tot: 0.000 μB per formula unit
Distance to the lowest polymorph of the same formula: 0.469 eV per formula unit
DOS(E_F): 1.55 states/eV/f.u.
Space-group type: Cmcm


[4]
This record from Alexandria describes a relaxed LaSn2PtRh2 crystal. The functional is PBE.

Lattice parameters (Å, degrees): 5.0382 5.0382 5.5921 90.00 90.00 90.00
Closest atoms and distances in Å follow each position.
Sites, in units of the cell vectors:
La (0.0000, 0.0000, 0.0000)  2 Pt 2.80
Sn (0.0000, 0.5000, 0.5000)  2 Pt 2.52
Sn (0.5000, 0.0000, 0.5000)  2 Pt 2.52
Pt (0.0000, 0.0000, 0.5000)  4 Sn 2.52, 2 La 2.80
Rh (0.5000, 0.5000, 0.2390)  2 Rh 2.67-2.92, 4 Sn 2.91
Rh (0.5000, 0.5000, 0.7610)  2 Rh 2.67-2.92, 4 Sn 2.91

Summary:
M_tot: 0.000 μB per formula unit
DOS(E_F): 5.96 states/eV/f.u.
Space-group type: P4/mmm
Energy relative to the elements: -0.231 eV per atom


[5]
This record from Alexandria describes a relaxed Sc2AgSb crystal. The functional is PBE.

Lattice parameters (Å, degrees): 10.0825 10.0825 10.0825 18.88 18.88 18.88
Closest atoms and distances in Å follow each position.
Sites, in units of the cell vectors:
Sc (0.0000, 0.0000, 0.0000)  3 Sb 3.10, 9 Sc 3.22-3.31
Sc (0.2459, 0.2459, 0.2459)  3 Ag 2.97, 9 Sc 3.22-3.31
Ag (0.5028, 0.5028, 0.5028)  3 Sc 2.97, 3 Sb 3.22, 6 Ag 3.31
Sb (0.7487, 0.7487, 0.7487)  3 Sc 3.10, 3 Ag 3.22, 6 Sb 3.31

Summary:
Total DFT energy (no corrections): -20.04 eV/f.u.
M_tot: 1.288 μB per formula unit
DOS(E_F): 2.78 states/eV/f.u.
Space-group type: R3m


[6]
This record from Alexandria describes a relaxed InAg2Ru crystal. The functional is PBE.

Lattice parameters (Å, degrees): 10.5487 10.5487 10.5487 158.83 158.83 30.12
Closest atoms and distances in Å follow each position.
Sites, in units of the cell vectors:
In (0.0000, 0.0000, 0.0000)  4 Ru 2.74, 4 Ag 2.90
In (0.7500, 0.2500, 0.5000)  4 Ru 2.74, 4 Ag 2.90
Ag (0.1301, 0.6250, 0.0051)  4 Ag 2.71-2.77, 2 Ru 2.89, 2 In 2.90
Ag (0.3750, 0.3801, 0.5051)  4 Ag 2.71-2.77, 2 Ru 2.89, 2 In 2.90
Ag (0.6199, 0.1250, 0.9949)  4 Ag 2.71-2.77, 2 Ru 2.89, 2 In 2.90
Ag (0.8750, 0.8699, 0.4949)  4 Ag 2.71-2.77, 2 Ru 2.89, 2 In 2.90
Ru (0.2500, 0.7500, 0.5000)  4 In 2.74, 4 Ag 2.89
Ru (0.5000, 0.5000, 0.0000)  4 In 2.74, 4 Ag 2.89

Summary:
M_tot: 0.762 μB per formula unit
DOS(E_F): 2.25 states/eV/f.u.
Space-group type: I-42d
Energy relative to the elements: 0.443 eV per atom


[7]
This record from Alexandria describes a relaxed NdDy6Y5 crystal. The functional is PBE.

Lattice parameters (Å, degrees): 6.1723 6.1723 11.8260 94.98 94.98 119.97
Closest atoms and distances in Å follow each position.
Sites, in units of the cell vectors:
Nd (0.0000, 0.0000, 0.0000)  6 Y 3.56-3.57, 6 Dy 3.57-3.58
Dy (0.0840, 0.4174, 0.2512)  5 Y 3.55-3.58, 6 Dy 3.56, 1 Nd 3.58
Dy (0.2494, 0.2494, 0.7491)  5 Y 3.56-3.58, 6 Dy 3.56, 1 Nd 3.57
Dy (0.4174, 0.0840, 0.2512)  5 Y 3.55-3.58, 6 Dy 3.56, 1 Nd 3.58
Dy (0.5826, 0.9160, 0.7488)  5 Y 3.55-3.58, 6 Dy 3.56, 1 Nd 3.58
Dy (0.7506, 0.7506, 0.2509)  5 Y 3.56-3.58, 6 Dy 3.56, 1 Nd 3.57
Dy (0.9160, 0.5826, 0.7488)  5 Y 3.55-3.58, 6 Dy 3.56, 1 Nd 3.58
Y (0.1669, 0.8331, 0.5000)  6 Dy 3.55-3.56, 6 Y 3.56-3.57
Y (0.3333, 0.6667, 0.0000)  3 Nd 3.56-3.57, 3 Y 3.56, 6 Dy 3.57-3.58
Y (0.5000, 0.5000, 0.5000)  6 Dy 3.55-3.56, 6 Y 3.56-3.57
Y (0.6667, 0.3333, 0.0000)  3 Nd 3.56-3.57, 3 Y 3.56, 6 Dy 3.57-3.58
Y (0.8331, 0.1669, 0.5000)  6 Dy 3.55-3.56, 6 Y 3.56-3.57

Summary:
M_tot: 0.000 μB per formula unit
DOS(E_F): 16.53 states/eV/f.u.
Space-group type: C2/m
Energy relative to the elements: 0.019 eV per atom


[8]
This record from Alexandria describes a relaxed NdErTh2P4 crystal. The functional is PBE.

Lattice parameters (Å, degrees): 7.0867 4.1175 7.1342 90.00 109.65 90.00
Closest atoms and distances in Å follow each position.
Sites, in units of the cell vectors:
Nd (0.0000, 0.0000, 0.0000)  6 P 2.92
Er (0.0000, 0.5000, 0.5000)  6 P 2.87
Th (0.5000, 0.0000, 0.5000)  6 P 2.89
Th (0.5000, 0.5000, 0.0000)  6 P 2.94
P (0.2452, 0.0000, 0.7432)  2 Er 2.87, 3 Th 2.89-2.94, 1 Nd 2.92
P (0.2494, 0.5000, 0.2550)  1 Er 2.87, 3 Th 2.89-2.94, 2 Nd 2.92
P (0.7506, 0.5000, 0.7450)  1 Er 2.87, 3 Th 2.89-2.94, 2 Nd 2.92
P (0.7548, 0.0000, 0.2568)  2 Er 2.87, 3 Th 2.89-2.94, 1 Nd 2.92

Summary:
M_tot: 0.000 μB per formula unit
DOS(E_F): 3.95 states/eV/f.u.
Space-group type: P2/m
Energy relative to the elements: -1.563 eV per atom


[9]
This record from Alexandria describes a relaxed Hf6TlIn3 crystal. The functional is PBE.

Lattice parameters (Å, degrees): 8.7320 8.7320 7.1114 90.00 90.00 118.93
Closest atoms and distances in Å follow each position.
Sites, in units of the cell vectors:
Hf (0.0292, 0.5757, 0.5064)  4 Hf 2.92-3.24, 1 Tl 3.02, 2 In 3.03-3.04
Hf (0.0453, 0.9547, 0.5000)  1 Tl 2.97, 4 In 3.02-3.08, 2 Hf 3.24
Hf (0.2307, 0.3911, 0.2774)  4 In 2.94-3.15, 2 Hf 2.97-3.10, 1 Tl 3.07
Hf (0.2625, 0.7375, 0.1871)  6 Hf 2.92-2.98, 1 Tl 2.93, 3 In 3.03-3.06
Hf (0.3911, 0.2307, 0.7774)  4 In 2.94-3.15, 2 Hf 2.97-3.10, 1 Tl 3.07
Hf (0.4243, 0.9708, 0.5064)  4 Hf 2.92-3.24, 1 Tl 3.02, 2 In 3.03-3.04
Hf (0.5757, 0.0292, 0.0064)  4 Hf 2.92-3.24, 1 Tl 3.02, 2 In 3.03-3.04
Hf (0.6089, 0.7693, 0.2774)  4 In 2.94-3.15, 2 Hf 2.97-3.10, 1 Tl 3.07
Hf (0.7375, 0.2625, 0.6871)  6 Hf 2.92-2.98, 1 Tl 2.93, 3 In 3.03-3.06
Hf (0.7693, 0.6089, 0.7774)  4 In 2.94-3.15, 2 Hf 2.97-3.10, 1 Tl 3.07
Hf (0.9547, 0.0453, 0.0000)  1 Tl 2.97, 4 In 3.02-3.08, 2 Hf 3.24
Hf (0.9708, 0.4243, 0.0064)  4 Hf 2.92-3.24, 1 Tl 3.02, 2 In 3.03-3.04
Tl (0.1667, 0.8333, 0.8286)  6 Hf 2.93-3.07, 2 In 3.23
Tl (0.8333, 0.1667, 0.3286)  6 Hf 2.93-3.07, 2 In 3.23
In (0.1046, 0.3007, 0.6772)  7 Hf 2.94-3.08, 1 In 3.10, 1 Tl 3.23
In (0.3007, 0.1046, 0.1772)  7 Hf 2.94-3.08, 1 In 3.10, 1 Tl 3.23
In (0.4134, 0.5866, 0.9052)  5 Hf 3.03-3.15, 2 In 3.10
In (0.5866, 0.4134, 0.4052)  5 Hf 3.03-3.15, 2 In 3.10
In (0.6993, 0.8954, 0.6772)  7 Hf 2.94-3.08, 1 In 3.10, 1 Tl 3.23
In (0.8954, 0.6993, 0.1772)  7 Hf 2.94-3.08, 1 In 3.10, 1 Tl 3.23

Summary:
M_tot: 0.000 μB per formula unit
DOS(E_F): 7.68 states/eV/f.u.
Space-group type: Cmc2_1
Energy relative to the elements: 0.107 eV per atom


[10]
This record from Alexandria describes a relaxed In2RuW crystal. The functional is PBE.

Lattice parameters (Å, degrees): 5.9874 5.9874 5.9874 102.43 102.43 124.71
Closest atoms and distances in Å follow each position.
Sites, in units of the cell vectors:
In (0.1088, 0.1250, 0.4838)  2 Ru 2.66, 2 In 2.79, 2 W 2.83
In (0.3750, 0.8912, 0.0162)  2 Ru 2.66, 2 In 2.79, 2 W 2.83
In (0.6412, 0.6250, 0.5162)  2 Ru 2.66, 2 In 2.79, 2 W 2.83
In (0.8750, 0.3588, 0.9838)  2 Ru 2.66, 2 In 2.79, 2 W 2.83
Ru (0.0000, 0.0000, 0.0000)  4 In 2.66, 2 W 2.78
Ru (0.7500, 0.2500, 0.5000)  4 In 2.66, 2 W 2.78
W (0.2500, 0.7500, 0.5000)  2 Ru 2.78, 4 In 2.83
W (0.5000, 0.5000, 0.0000)  2 Ru 2.78, 4 In 2.83

Summary:
M_tot: 0.000 μB per formula unit
Distance to the lowest polymorph of the same formula: 3.148 eV per formula unit
DOS(E_F): 4.41 states/eV/f.u.
Space-group type: I-42d
Energy relative to the elements: 0.979 eV per atom


[11]
This record from Alexandria describes a relaxed V4GaTc5 crystal. The functional is PBE.

Lattice parameters (Å, degrees): 3.0359 3.0359 15.1584 90.00 90.00 90.00
Closest atoms and distances in Å follow each position.
Sites, in units of the cell vectors:
V (0.0000, 0.0000, 0.1010)  8 Tc 2.60-2.64
V (0.0000, 0.0000, 0.3019)  8 Tc 2.56-2.66
V (0.0000, 0.0000, 0.6981)  8 Tc 2.56-2.66
V (0.0000, 0.0000, 0.8990)  8 Tc 2.60-2.64
Ga (0.0000, 0.0000, 0.5000)  8 Tc 2.68, 2 V 3.00
Tc (0.5000, 0.5000, 0.0000)  8 V 2.64
Tc (0.5000, 0.5000, 0.1979)  8 V 2.60-2.66
Tc (0.5000, 0.5000, 0.3938)  4 V 2.56, 4 Ga 2.68
Tc (0.5000, 0.5000, 0.6062)  4 V 2.56, 4 Ga 2.68
Tc (0.5000, 0.5000, 0.8021)  8 V 2.60-2.66

Summary:
M_tot: 0.000 μB per formula unit
DOS(E_F): 7.19 states/eV/f.u.
Space-group type: P4/mmm
Energy relative to the elements: -0.327 eV per atom


[12]
This record from Alexandria describes a relaxed ZnInW2 crystal. The functional is PBE.

Lattice parameters (Å, degrees): 4.5480 4.5480 4.5480 60.00 60.00 60.00
Closest atoms and distances in Å follow each position.
Sites, in units of the cell vectors:
Zn (0.0000, 0.0000, 0.0000)  8 W 2.79
In (0.5000, 0.5000, 0.5000)  8 W 2.79
W (0.2500, 0.2500, 0.2500)  4 In 2.79, 4 Zn 2.79
W (0.7500, 0.7500, 0.7500)  4 Zn 2.79, 4 In 2.79

Summary:
M_tot: 0.000 μB per formula unit
Distance to the lowest polymorph of the same formula: 2.091 eV per formula unit
DOS(E_F): 3.94 states/eV/f.u.
Space-group type: Fm-3m
Energy relative to the elements: 0.864 eV per atom